# 1
First-principles (PBE-GGA) data for a geometry-optimized Na2UGeTe4 structure, as listed in Alexandria.

```
data_Na2UGeTe4
_cell_length_a 7.713
_cell_length_b 4.421
_cell_length_c 7.795
_cell_angle_alpha 90.00
_cell_angle_beta 108.58
_cell_angle_gamma 90.00
_space_group_name_H-M_alt 'P 1 2/m 1'
_space_group_IT_number 10
_space_group_name_Hall '-P 2y'
loop_
_atom_site_label
_atom_site_type_symbol
_atom_site_fract_x
_atom_site_fract_y
_atom_site_fract_z
Na1 Na 0.000 0.000 0.000
Na2 Na 0.500 0.500 0.000
U1 U 0.000 0.500 0.500
Ge1 Ge 0.500 0.000 0.500
Te1 Te 0.246 0.000 0.728
Te2 Te 0.259 0.500 0.278
```

Values from the calculation:
Calculated density   5.71 g/cm³

***

# 2
First-principles (PBE-GGA) data for a geometry-optimized Na2YGeTe4 structure, as listed in Alexandria.

```
data_Na2YGeTe4
_cell_length_a 7.701
_cell_length_b 4.183
_cell_length_c 7.989
_cell_angle_alpha 90.00
_cell_angle_beta 107.11
_cell_angle_gamma 90.00
_space_group_name_H-M_alt 'P 1 2/m 1'
_space_group_IT_number 10
_space_group_name_Hall '-P 2y'
loop_
_atom_site_label
_atom_site_type_symbol
_atom_site_fract_x
_atom_site_fract_y
_atom_site_fract_z
Na1 Na 0.000 0.000 0.000
Na2 Na 0.500 0.500 0.000
Y1 Y 0.000 0.500 0.500
Ge1 Ge 0.500 0.000 0.500
Te1 Te 0.251 0.000 0.729
Te2 Te 0.269 0.500 0.279
```

Values from the calculation:
Calculated density   4.85 g/cm³

***

no.,raw formation energy (eV/f.u.)
1,-5.07
2,-6.47